A geometry-optimized Li3MnV3O8 structure, computed with GGA+U.

```
data_Li3MnV3O8
_chemical_formula_sum 'Li9 Mn3 V9 O24'
_space_group_name_H-M_alt 'R -3 m'
_space_group_IT_number 166
_space_group_name_Hall '-R 3 2"'
_cell_length_a 5.9665
_cell_length_b 5.9665
_cell_length_c 14.6828
_cell_angle_alpha 90.00
_cell_angle_beta 90.00
_cell_angle_gamma 120.00
loop_
_atom_site_label
_atom_site_type_symbol
_atom_site_fract_x
_atom_site_fract_y
_atom_site_fract_z
_atom_site_occupancy
Li1 Li 0.0000 0.5000 0.0000 1
Mn1 Mn 0.0000 0.0000 0.5000 1
V1 V 0.0000 0.5000 0.5000 1
O1 O 0.0000 0.0000 0.2419 1
O2 O 0.0163 0.5082 0.2389 1
```

Output
**Magnetization**: 0.600 μB/atom
**Excess energy over the best structure of this formula in the dataset**: 0.000 eV per atom
**Electronic total energy**: -105.0 eV per formula unit